Below is a relaxed Al2PIr crystal, with properties calculated at the PBE-GGA level.

DFT total energy = -23.01 eV for the cell shown
Density of states at the Fermi level = 1.03 states/eV/cell

Cell and atoms, written as POSCAR:
```
Al2PIr
1.0
2.8640 0.0000 0.0000
0.0000 2.8640 0.0000
0.0000 0.0000 7.2434
Al P Ir
2 1 1
Direct
0.0000 0.0000 0.2275 Al
0.0000 0.0000 0.7725 Al
0.5000 0.5000 0.5000 P
0.5000 0.5000 0.0000 Ir
```



Below is a relaxed Al2P2Ir crystal, with properties calculated at the PBE-GGA level.

Energy relative to the lowest polymorph listed for this composition = 112.6 meV per atom
DFT total energy = -26.74 eV for the cell shown
Density of states at the Fermi level = 3.12 states/eV/cell

Cell and atoms, written as POSCAR:
```
Al2P2Ir
1.0
-2.3701 2.3701 3.5496
2.3701 -2.3701 3.5496
2.3701 2.3701 -3.5496
Al P Ir
2 2 1
Direct
0.2500 0.7500 0.5000 Al
0.7500 0.2500 0.5000 Al
0.1620 0.1620 0.0000 P
0.8380 0.8380 0.0000 P
0.5000 0.5000 0.0000 Ir
```



Below is a relaxed AlP2Ir crystal, with properties calculated at the PBE-GGA level.

DFT total energy = -24.34 eV for the cell shown
Density of states at the Fermi level = 1.28 states/eV/cell

Cell and atoms, written as POSCAR:
```
AlP2Ir
1.0
4.3474 0.0000 0.0000
0.0000 3.4335 0.0000
-1.5735 0.0000 4.4289
Al P Ir
1 2 1
Direct
0.0000 0.0000 0.0000 Al
0.2344 0.5000 0.6805 P
0.7656 0.5000 0.3195 P
0.5000 0.0000 0.5000 Ir
```



Below is a relaxed AlP2Ir crystal, with properties calculated at the PBE-GGA level.

DFT total energy = -23.58 eV for the cell shown
Density of states at the Fermi level = 2.29 states/eV/cell

Cell and atoms, written as POSCAR:
```
AlP2Ir
1.0
2.8871 0.0000 0.0000
0.0000 2.8871 0.0000
0.0000 0.0000 7.4075
Al P Ir
1 2 1
Direct
0.0000 0.0000 0.0000 Al
0.0000 0.0000 0.4447 P
0.5000 0.5000 0.7856 P
0.5000 0.5000 0.2544 Ir
```



Listing energy of formation from the pure elements for the structures above in their given order: -0.314; 0.085; -0.230; -0.040 eV/atom.